(1)
Material: InIrOs2
Method: DFT, PBE
State: relaxed

a b c (Å): 2.808 4.722 9.813
angles (deg): 90.00 90.00 90.00
Space group Imm2 (No. 44)
Symmetry-distinct sites (fractional):
In 0.000 0.000 0.000
Ir 0.000 0.500 0.772
Os 0.000 0.000 0.511
Os 0.000 0.500 0.231

***

(2)
Material: InIr3Os
Method: DFT, PBE
State: relaxed

Properties
Its polymorph energy (0 for the lowest one) is 0 meV per atom.

a b c (Å): 4.770 4.770 4.770
angles (deg): 90.00 90.00 90.00
Space group Pm-3m (No. 221)
Symmetry-distinct sites (fractional):
In 0.000 0.000 0.000
Ir 0.000 0.500 0.500
Os 0.500 0.500 0.500

***

(3)
Material: InIr2Os
Method: DFT, PBE
State: relaxed

a b c (Å): 4.020 4.020 3.910
angles (deg): 90.00 90.00 90.00
Space group P4/mmm (No. 123)
Symmetry-distinct sites (fractional):
In 0.000 0.000 0.000
Ir 0.000 0.500 0.500
Os 0.500 0.500 0.000

***

| no. | formation enthalpy at 0 K (eV per atom) | D(E_F) (states/eV/f.u.) |
| --- | --- | --- |
| 1 | 0.544 | 3.994 |
| 2 | 1.516 | 5.482 |
| 3 | 0.354 | 3.775 |